The following is a PBE+U calculation of a relaxed LaB2WO8 crystal, from the Alexandria database.

Lattice parameters (Å, degrees): 4.9729 4.9729 6.7474 90.00 90.00 120.00
Space group P-3m1 (No. 164)
One atom of each set of equivalent atoms:
1 La 0.0000 0.0000 0.0000 x1
2 B 0.3333 0.6667 0.2467 x2
3 W 0.0000 0.0000 0.5000 x1
4 O 0.1731 0.3462 0.3203 x6
5 O 0.3333 0.6667 0.0312 x2

Calculated values
Calculated total energy = -92.63 eV/cell